## HfUMo (PBE)

Data for an optimized crystal structure of HfUMo.

extended XYZ file:
```
3
Lattice="2.816 0.000 0.000 0.000 2.771 -0.590 -1.408 -3.188 8.371" Properties=species:S:1:pos:R:3 pbc="T T T"
U 1.408 -0.077 5.269
Hf 1.408 0.700 2.355
Mo 0.000 -1.456 7.939
```

Summary:
Its volume is 20.01 Å³/atom. The density of states at the Fermi level comes out at 1.7993 states/eV per atom. Its mass density is 14.17 g/cm3. The space group is Cm, No. 8. The total magnetization is 0.0 μB/f.u. For the formation energy from the elements, the calculation gives 0.600 eV per atom. The energy relative to the lowest polymorph listed for this composition comes out at 456 meV/atom. For the calculated total energy, the calculation gives -30.27 eV/f.u.